[1]
The following is a DFT calculation (PBE) of a geometry-optimized RbZn3Os structure.

POSCAR file:
```
RbZn3Os
1.0
6.499 0.000 0.000
0.000 6.499 0.000
0.000 0.000 6.499
Rb Zn Os
1 3 1
Cartesian
0.000 0.000 0.000 Rb
0.000 0.000 3.249 Zn
0.000 3.249 0.000 Zn
3.249 0.000 0.000 Zn
3.249 3.249 3.249 Os
```

Output
- total energy (eV/f.u.) = -5.4
- energy above the lowest structure with this stoichiometry (kJ per mole of atoms) = 175.9

---

[2]
The following is a DFT calculation (PBE) of a geometry-optimized Rb3ZnOs structure.

POSCAR file:
```
Rb3ZnOs
1.0
6.509 0.000 0.000
0.000 6.509 0.000
0.000 0.000 6.509
Rb Zn Os
3 1 1
Cartesian
0.000 0.000 3.255 Rb
0.000 3.255 0.000 Rb
3.255 0.000 0.000 Rb
3.255 3.255 3.255 Zn
0.000 0.000 0.000 Os
```

Output
- total energy (eV/f.u.) = -9.2
- energy above the lowest structure with this stoichiometry (kJ per mole of atoms) = 0.0

---

[3]
The following is a DFT calculation (PBE) of a geometry-optimized RbZn3Os structure.

POSCAR file:
```
RbZn3Os
1.0
4.964 0.000 0.000
0.000 4.964 0.000
0.000 0.000 4.964
Rb Zn Os
1 3 1
Cartesian
0.000 0.000 0.000 Rb
0.000 2.482 2.482 Zn
2.482 0.000 2.482 Zn
2.482 2.482 0.000 Zn
2.482 2.482 2.482 Os
```

Output
- total energy (eV/f.u.) = -14.5
- energy above the lowest structure with this stoichiometry (kJ per mole of atoms) = 0.0

---

[4]
The following is a DFT calculation (PBE) of a geometry-optimized RbZrOs2 structure.

POSCAR file:
```
RbZrOs2
1.0
-2.497 2.497 9.168
2.497 -2.497 9.168
2.497 2.497 -9.168
Rb Zr Os
2 2 4
Cartesian
0.000 0.000 0.000 Rb
0.000 2.497 4.584 Rb
2.497 0.000 4.584 Zr
0.000 0.000 9.168 Zr
1.249 2.323 -2.292 Os
2.672 1.249 2.292 Os
1.249 0.174 6.876 Os
-0.174 1.249 11.460 Os
```

Output
- total energy (eV/f.u.) = -26.7
- energy above the lowest structure with this stoichiometry (kJ per mole of atoms) = 0.0

---

[5]
The following is a DFT calculation (PBE) of a geometry-optimized Rb3ZrOs structure.

POSCAR file:
```
Rb3ZrOs
1.0
6.462 0.000 0.000
0.000 6.462 0.000
0.000 0.000 6.462
Rb Zr Os
3 1 1
Cartesian
0.000 0.000 3.231 Rb
0.000 3.231 0.000 Rb
3.231 0.000 0.000 Rb
3.231 3.231 3.231 Zr
0.000 0.000 0.000 Os
```

Output
- total energy (eV/f.u.) = -12.8
- energy above the lowest structure with this stoichiometry (kJ per mole of atoms) = 0.0

---

[6]
The following is a DFT calculation (PBE) of a geometry-optimized RbZr3Os structure.

POSCAR file:
```
RbZr3Os
1.0
4.883 0.000 0.000
0.000 4.883 0.000
0.000 0.000 4.883
Rb Zr Os
1 3 1
Cartesian
0.000 0.000 0.000 Rb
0.000 0.000 2.441 Zr
0.000 2.441 0.000 Zr
2.441 0.000 0.000 Zr
2.441 2.441 2.441 Os
```

Output
- total energy (eV/f.u.) = -25.4
- energy above the lowest structure with this stoichiometry (kJ per mole of atoms) = 184.1

---

[7]
The following is a DFT calculation (PBE) of a geometry-optimized RbZrOs2 structure.

POSCAR file:
```
RbZrOs2
1.0
0.000 3.403 3.403
3.403 0.000 3.403
3.403 3.403 0.000
Rb Zr Os
1 1 2
Cartesian
0.000 0.000 0.000 Rb
3.403 3.403 3.403 Zr
1.701 1.701 1.701 Os
5.104 5.104 5.104 Os
```

Output
- total energy (eV/f.u.) = -26.3
- energy above the lowest structure with this stoichiometry (kJ per mole of atoms) = 9.5

---

[8]
The following is a DFT calculation (PBE) of a geometry-optimized RbZr3Os structure.

POSCAR file:
```
RbZr3Os
1.0
5.236 0.000 0.000
0.000 5.236 0.000
0.000 0.000 5.236
Rb Zr Os
1 3 1
Cartesian
0.000 0.000 0.000 Rb
0.000 2.618 2.618 Zr
2.618 0.000 2.618 Zr
2.618 2.618 0.000 Zr
2.618 2.618 2.618 Os
```

Output
- total energy (eV/f.u.) = -35.0
- energy above the lowest structure with this stoichiometry (kJ per mole of atoms) = 0.0

---

[9]
The following is a DFT calculation (PBE) of a geometry-optimized Re5Os structure.

POSCAR file:
```
Re5Os
1.0
2.758 0.000 0.000
0.000 2.758 0.000
0.000 0.000 11.755
Re Os
5 1
Cartesian
0.000 0.000 0.000 Re
0.000 0.000 3.952 Re
0.000 0.000 7.803 Re
1.379 1.379 1.951 Re
1.379 1.379 9.804 Re
1.379 1.379 5.877 Os
```

Output
- total energy (eV/f.u.) = -73.1
- energy above the lowest structure with this stoichiometry (kJ per mole of atoms) = 10.7

---

[10]
The following is a DFT calculation (PBE) of a geometry-optimized Re5Os structure.

POSCAR file:
```
Re5Os
1.0
2.734 0.000 0.000
0.000 4.373 0.000
0.000 0.000 7.586
Re Os
5 1
Cartesian
0.000 0.000 0.000 Re
1.367 0.000 2.534 Re
1.367 0.000 5.052 Re
1.367 2.187 1.267 Re
1.367 2.187 6.319 Re
0.000 2.187 3.793 Os
```

Output
- total energy (eV/f.u.) = -72.5
- energy above the lowest structure with this stoichiometry (kJ per mole of atoms) = 19.6

---

[11]
The following is a DFT calculation (PBE) of a geometry-optimized ReOs7 structure.

POSCAR file:
```
ReOs7
1.0
-1.928 1.928 7.757
1.928 -1.928 7.757
1.928 1.928 -7.757
Re Os
1 7
Cartesian
0.000 0.000 0.000 Re
1.928 0.000 1.944 Os
0.000 0.000 3.885 Os
1.928 0.000 5.813 Os
0.000 0.000 7.757 Os
0.000 1.928 1.944 Os
0.000 0.000 11.629 Os
0.000 1.928 5.813 Os
```

Output
- total energy (eV/f.u.) = -90.1
- energy above the lowest structure with this stoichiometry (kJ per mole of atoms) = 0.2

---

[12]
The following is a DFT calculation (PBE) of a geometry-optimized ReOs5 structure.

POSCAR file:
```
ReOs5
1.0
4.789 0.000 0.000
-2.394 4.147 0.000
0.000 0.000 4.344
Re Os
1 5
Cartesian
0.000 0.000 0.000 Re
-1.595 2.762 2.172 Os
0.000 2.765 0.000 Os
0.800 1.385 2.172 Os
3.189 0.000 2.172 Os
2.394 1.382 0.000 Os
```

Output
- total energy (eV/f.u.) = -68.9
- energy above the lowest structure with this stoichiometry (kJ per mole of atoms) = 0.0